Record 1
This record from the Alexandria database describes crystalline FeNiHg at its relaxed geometry. The functional is PBE.

The structure belongs to space group I4mm (No. 107); the cell edges are 2.9812, 2.9812 and 9.9788 Å and the angles 90.00°, 90.00° and 90.00°. The distinct sites, in fractional coordinates, are Fe at (0.0000, 0.0000, 0.0000), Ni at (0.0000, 0.0000, 0.3764) and Hg at (0.0000, 0.0000, 0.6924).

Its formation enthalpy at 0 K is 0.27 eV per atom. The value obtained for the magnetization is 3.31 μB per formula unit. The calculation puts the calculated volume at 14.8 Å³/atom. The calculation puts the offset from the most stable computed form at 0 meV per atom.

Record 2
This record from the Alexandria database describes crystalline Fe2NiHg at its relaxed geometry. The functional is PBE.

The structure belongs to space group P2/m (No. 10); the cell edges are 2.7345, 3.5892 and 5.7572 Å and the angles 90.00°, 90.21° and 90.00°. The distinct sites, in fractional coordinates, are Fe at (0.9997, 0.0000, 0.2052), Ni at (0.5000, 0.5000, 0.0000) and Hg at (0.5000, 0.5000, 0.5000).

Its formation enthalpy at 0 K is 0.27 eV per atom. The value obtained for the magnetization is 6.01 μB per formula unit. The calculation puts the calculated volume at 14.1 Å³/atom.

Record 3
This record from the Alexandria database describes crystalline FeNi2Hg at its relaxed geometry. The functional is PBE.

The structure belongs to space group R3m (No. 160, hexagonal axes); the cell edges are 2.7647, 2.7647 and 25.5408 Å and the angles 90.00°, 90.00° and 120.00°. The distinct sites, in fractional coordinates, are Fe at (0.0000, 0.0000, 0.0000), Ni at (0.0000, 0.0000, 0.4823), Ni at (0.0000, 0.0000, 0.7404) and Hg at (0.0000, 0.0000, 0.2383).

Its formation enthalpy at 0 K is 0.36 eV per atom. The value obtained for the magnetization is 3.72 μB per formula unit. The calculation puts the calculated volume at 14.1 Å³/atom.

Record 4
This record from the Alexandria database describes crystalline FeNi4Hg at its relaxed geometry. The functional is PBE.

The structure belongs to space group F-43m (No. 216); the cell edges are 6.7649, 6.7649 and 6.7649 Å and the angles 90.00°, 90.00° and 90.00°. The distinct sites, in fractional coordinates, are Fe at (0.0000, 0.0000, 0.0000), Ni at (0.1254, 0.1254, 0.6254) and Hg at (0.2500, 0.2500, 0.2500).

Its formation enthalpy at 0 K is 0.16 eV per atom. The value obtained for the magnetization is 5.33 μB per formula unit. The calculation puts the calculated volume at 12.9 Å³/atom.

Record 5
This record from the Alexandria database describes crystalline FeNi2Hg at its relaxed geometry. The functional is PBE.

The structure belongs to space group Pmmm (No. 47); the cell edges are 2.8521, 3.0681 and 6.3062 Å and the angles 90.00°, 90.00° and 90.00°. The distinct sites, in fractional coordinates, are Fe at (0.0000, 0.0000, 0.0000), Ni at (0.5000, 0.5000, 0.2045) and Hg at (0.0000, 0.0000, 0.5000).

Its formation enthalpy at 0 K is 0.13 eV per atom. The value obtained for the magnetization is 3.91 μB per formula unit. The calculation puts the calculated volume at 13.8 Å³/atom.

Record 6
This record from the Alexandria database describes crystalline FeNi2Hg at its relaxed geometry. The functional is PBE.

The structure belongs to space group R-3m (No. 166, hexagonal axes); the cell edges are 2.7972, 2.7972 and 25.0446 Å and the angles 90.00°, 90.00° and 120.00°. The distinct sites, in fractional coordinates, are Fe at (0.0000, 0.0000, 0.0000), Ni at (0.0000, 0.0000, 0.2596) and Hg at (0.0000, 0.0000, 0.5000).

Its formation enthalpy at 0 K is 0.28 eV per atom. The value obtained for the magnetization is 3.86 μB per formula unit. The calculation puts the calculated volume at 14.1 Å³/atom.

Record 7
This record from the Alexandria database describes crystalline FeNiHg4 at its relaxed geometry. The functional is PBE.

The structure belongs to space group F-43m (No. 216); the cell edges are 7.9991, 7.9991 and 7.9991 Å and the angles 90.00°, 90.00° and 90.00°. The distinct sites, in fractional coordinates, are Fe at (0.0000, 0.0000, 0.0000), Ni at (0.2500, 0.2500, 0.2500) and Hg at (0.1249, 0.1249, 0.6249).

Its formation enthalpy at 0 K is 0.85 eV per atom. The value obtained for the magnetization is 3.36 μB per formula unit. The calculation puts the calculated volume at 21.3 Å³/atom.

Record 8
This record from the Alexandria database describes crystalline Fe2NiHg at its relaxed geometry. The functional is PBE.

The structure belongs to space group Cm (No. 8); the cell edges are 8.6110, 2.7990 and 4.8052 Å and the angles 90.00°, 102.28° and 90.00°. The distinct sites, in fractional coordinates, are Fe at (0.0000, 0.0000, 0.0000), Fe at (0.2365, 0.5000, 0.2133), Ni at (0.2616, 0.0000, 0.7908) and Hg at (0.0003, 0.5000, 0.5054).

Its formation enthalpy at 0 K is 0.30 eV per atom. The value obtained for the magnetization is 5.93 μB per formula unit. The calculation puts the calculated volume at 14.1 Å³/atom.

Record 9
This record from the Alexandria database describes crystalline Fe4NiHg at its relaxed geometry. The functional is PBE.

The structure belongs to space group F-43m (No. 216); the cell edges are 6.8462, 6.8462 and 6.8462 Å and the angles 90.00°, 90.00° and 90.00°. The distinct sites, in fractional coordinates, are Fe at (0.1255, 0.1255, 0.1255), Ni at (0.0000, 0.0000, 0.5000) and Hg at (0.2500, 0.2500, 0.7500).

Its formation enthalpy at 0 K is 0.30 eV per atom. The value obtained for the magnetization is 10.47 μB per formula unit. The calculation puts the calculated volume at 13.4 Å³/atom.

Record 10
This record from the Alexandria database describes crystalline FeNi2Hg at its relaxed geometry. The functional is PBE.

The structure belongs to space group F-43m (No. 216); the cell edges are 6.0306, 6.0306 and 6.0306 Å and the angles 90.00°, 90.00° and 90.00°. The distinct sites, in fractional coordinates, are Fe at (0.0000, 0.0000, 0.0000), Ni at (0.0000, 0.0000, 0.5000), Ni at (0.2500, 0.2500, 0.7500) and Hg at (0.2500, 0.2500, 0.2500).

Its formation enthalpy at 0 K is 0.31 eV per atom. The value obtained for the magnetization is 3.50 μB per formula unit. The calculation puts the calculated volume at 13.7 Å³/atom.

Record 11
This record from the Alexandria database describes crystalline Fe2NiHg at its relaxed geometry. The functional is PBE.

The structure belongs to space group I-42d (No. 122); the cell edges are 6.9214, 6.9214 and 5.0996 Å and the angles 90.00°, 90.00° and 90.00°. The distinct sites, in fractional coordinates, are Fe at (0.2079, 0.2500, 0.1250), Ni at (0.0000, 0.0000, 0.0000) and Hg at (0.0000, 0.0000, 0.5000).

Its formation enthalpy at 0 K is 0.55 eV per atom. The value obtained for the magnetization is 6.25 μB per formula unit. The calculation puts the calculated volume at 15.3 Å³/atom.

Record 12
This record from the Alexandria database describes crystalline FeNiHg at its relaxed geometry. The functional is PBE.

The structure belongs to space group F-43m (No. 216); the cell edges are 5.8825, 5.8825 and 5.8825 Å and the angles 90.00°, 90.00° and 90.00°. The distinct sites, in fractional coordinates, are Fe at (0.0000, 0.0000, 0.0000), Ni at (0.2500, 0.2500, 0.7500) and Hg at (0.0000, 0.0000, 0.5000).

Its formation enthalpy at 0 K is 0.51 eV per atom. The value obtained for the magnetization is 3.34 μB per formula unit. The calculation puts the calculated volume at 17.0 Å³/atom. The calculation puts the offset from the most stable computed form at 233 meV per atom.

Which value of formation enthalpy at 0 K does entry 5 give?
0.13 eV per atom

Please write out number 7 again, unchanged.
This record from the Alexandria database describes crystalline FeNiHg4 at its relaxed geometry. The functional is PBE.

The structure belongs to space group F-43m (No. 216); the cell edges are 7.9991, 7.9991 and 7.9991 Å and the angles 90.00°, 90.00° and 90.00°. The distinct sites, in fractional coordinates, are Fe at (0.0000, 0.0000, 0.0000), Ni at (0.2500, 0.2500, 0.2500) and Hg at (0.1249, 0.1249, 0.6249).

Its formation enthalpy at 0 K is 0.85 eV per atom. The value obtained for the magnetization is 3.36 μB per formula unit. The calculation puts the calculated volume at 21.3 Å³/atom.

formation enthalpy at 0 K of number 5 (FeNi2Hg)?
0.13 eV per atom